Ce8PdRu5 | Alexandria via LeMat-Bulk | PBE | optimized geometry; total DFT energy (no corrections) = -104.38 eV/cell; ΔE_f = -5.34 eV per formula unit; DOS at the Fermi energy = 1.687 states/eV/atom
1.0
-0.6807 -5.1963 5.3238
5.2957 4.8567 2.0436
-6.4207 3.7000 -0.9444
Ce Pd Ru
8 1 5
Direct
0.1187 0.7604 0.9938
0.0062 0.1249 0.7665
0.7331 0.2459 0.3723
0.6277 0.3608 0.8736
0.5128 0.6392 0.2669
0.6417 0.8751 0.8813
0.2335 0.2396 0.3583
0.1264 0.7541 0.4872
0.2500 0.5000 0.7500
0.0199 0.3884 0.1389
0.8611 0.8810 0.2495
0.7505 0.6116 0.6315
0.5000 0.0000 0.5000
0.3685 0.1190 0.9801

Ce8PdRu6 | Alexandria via LeMat-Bulk | PBE | optimized geometry; total DFT energy (no corrections) = -113.15 eV/cell; ΔE_f = -4.83 eV per formula unit; DOS at the Fermi energy = 1.519 states/eV/atom
1.0
-2.0429 3.8358 1.0504
-1.1147 -3.0068 8.8123
7.7165 4.7636 -2.3882
Ce Pd Ru
8 1 6
Direct
0.7561 0.6890 0.9530
0.7561 0.0470 0.7360
0.7561 0.2640 0.3110
0.2439 0.3110 0.0470
0.2439 0.9530 0.2640
0.2439 0.7360 0.6890
0.7490 0.6667 0.3333
0.2510 0.3333 0.6667
0.5000 0.0000 0.0000
0.7473 0.5206 0.6300
0.7473 0.3700 0.8906
0.7473 0.1094 0.4794
0.2527 0.4794 0.3700
0.2527 0.6300 0.1094
0.2527 0.8906 0.5206

Ce6PdRu2 | Alexandria via LeMat-Bulk | PBE | optimized geometry; total DFT energy (no corrections) = -123.04 eV/cell; energy above the most stable polymorph in this dataset = 129 meV per atom; ΔE_f = -2.17 eV per formula unit; DOS at the Fermi energy = 2.428 states/eV/atom
1.0
-5.6982 -2.7804 1.2128
1.8509 -5.5799 -4.0962
3.9342 -4.3869 7.7536
Ce Pd Ru
12 2 4
Direct
0.8300 0.9304 0.2328
0.8378 0.6356 0.5512
0.8575 0.6910 0.9215
0.6425 0.1910 0.5785
0.6622 0.1356 0.9488
0.6700 0.4304 0.2672
0.1700 0.0696 0.7672
0.1622 0.3644 0.4488
0.1425 0.3090 0.0785
0.3575 0.8090 0.4215
0.3378 0.8644 0.0512
0.3300 0.5696 0.7328
0.5000 0.5000 0.0000
0.0000 0.0000 0.5000
0.9572 0.3748 0.7771
0.5428 0.8748 0.7229
0.4572 0.1252 0.2771
0.0428 0.6252 0.2229

CeScPdRu | Alexandria via LeMat-Bulk | PBE | optimized geometry; total DFT energy (no corrections) = -28.97 eV/cell; ΔE_f = -2.24 eV per formula unit; DOS at the Fermi energy = 1.256 states/eV/atom
1.0
4.8025 0.0000 0.0000
2.4012 4.1591 0.0000
2.4012 1.3864 3.9212
Sc Ru Pd Ce
1 1 1 1
Direct
0.5000 0.5000 0.5000
0.2500 0.2500 0.2500
0.7500 0.7500 0.7500
0.0000 0.0000 0.0000

CeSmPdRu | Alexandria via LeMat-Bulk | PBE | optimized geometry; total DFT energy (no corrections) = -27.03 eV/cell; ΔE_f = -1.91 eV per formula unit; DOS at the Fermi energy = 1.173 states/eV/atom
1.0
4.9752 0.0000 0.0000
2.4876 4.3087 0.0000
2.4876 1.4362 4.0623
Ru Pd Ce Sm
1 1 1 1
Direct
0.7500 0.7500 0.7500
0.2500 0.2500 0.2500
0.0000 0.0000 0.0000
0.5000 0.5000 0.5000

CeSnPdRu | Alexandria via LeMat-Bulk | PBE | optimized geometry; total DFT energy (no corrections) = -26.28 eV/cell; ΔE_f = -1.87 eV per formula unit; DOS at the Fermi energy = 1.472 states/eV/atom
1.0
-1.7212 1.1567 -4.3394
-4.2248 -1.7733 -1.4622
-3.8221 2.8950 -0.3775
Ru Pd Sn Ce
1 1 1 1
Direct
0.7500 0.7500 0.7500
0.2500 0.2500 0.2500
0.5000 0.5000 0.5000
0.0000 0.0000 0.0000

Look up the total DFT energy (no corrections) of the sixth one.
-26.28 eV/cell